(1)
5
Lattice="5.005 0.000 0.000 0.000 5.005 0.000 0.000 0.000 5.005" Properties=species:S:1:pos:R:3 comment="PBEsol CaScZn3, relaxed" dos_at_fermi_per_ev_atom=1.116 energy_ev_per_atom=-1.83 formation_energy_ev_per_atom=0.867 pbc="T T T"
Ca 0.000 0.000 0.000
Sc 2.503 2.503 2.503
Zn 0.000 0.000 2.503
Zn 0.000 2.503 0.000
Zn 2.503 0.000 0.000


(2)
4
Lattice="0.000 3.988 3.988 3.988 0.000 3.988 3.988 3.988 0.000" Properties=species:S:1:pos:R:3 comment="PBEsol CsRbCl2, relaxed" dos_at_fermi_per_ev_atom=0.000 e_above_lowest_polymorph_mev_per_atom=0 energy_ev_per_atom=-3.41 e_form_raw_ev_per_fu=-7.6 pbc="T T T"
Cs 0.000 0.000 0.000
Rb 3.988 3.988 3.988
Cl 1.994 1.994 1.994
Cl 5.983 5.983 5.983


(3)
4
Lattice="3.301 0.000 0.000 0.000 4.239 0.000 0.000 0.000 5.950" Properties=species:S:1:pos:R:3 comment="PBEsol MnPBr2, relaxed" dos_at_fermi_per_ev_atom=0.338 energy_ev_per_atom=-4.40 e_form_raw_ev_per_fu=1.7 pbc="T T T"
Mn 0.000 0.000 0.000
P 1.651 0.000 2.975
Br 0.000 2.120 2.975
Br 1.651 2.120 0.000


(4)
5
Lattice="4.540 0.000 0.000 0.000 4.540 0.000 0.000 0.000 5.095" Properties=species:S:1:pos:R:3 comment="PBEsol Tc2NiSeCl, relaxed" dos_at_fermi_per_ev_atom=1.585 energy_ev_per_atom=-5.23 e_form_raw_ev_per_fu=8.4 pbc="T T T"
Tc 0.000 2.270 0.000
Tc 2.270 0.000 0.000
Ni 0.000 0.000 2.548
Se 2.270 2.270 0.000
Cl 2.270 2.270 2.548


(5)
70
Lattice="8.422 0.000 0.000 0.000 11.563 0.000 -8.376 0.000 10.541" Properties=species:S:1:pos:R:3 comment="PBEsol K4In2Si8O21, relaxed" dos_at_fermi_per_ev_atom=0.000 energy_ev_per_atom=-7.30 e_form_raw_ev_per_fu=-88.7 pbc="T T T"
K 0.071 0.374 2.020
K -4.117 5.408 7.291
K 0.124 7.459 2.178
K -4.064 9.886 7.449
K 4.110 1.678 3.093
K -0.078 4.104 8.364
K 4.163 6.156 3.251
K -0.025 11.189 8.521
In -5.846 1.926 10.116
In -1.658 3.856 4.845
In 1.704 7.707 5.697
In 5.892 9.638 0.426
Si -6.789 7.672 8.792
Si -2.601 9.673 3.521
Si -1.733 7.299 5.291
Si 2.455 10.046 0.020
Si -1.526 0.491 5.230
Si -5.714 5.291 10.501
Si -2.712 2.010 7.520
Si 1.476 3.772 2.249
Si -1.430 7.792 8.292
Si 2.758 9.553 3.022
Si 5.760 6.273 0.041
Si 1.572 11.073 5.312
Si -2.409 1.517 10.521
Si 1.779 4.265 5.251
Si 2.647 1.890 7.020
Si 6.835 3.891 1.749
O -5.716 7.542 7.602
O -1.528 9.803 2.331
O -2.661 8.223 4.266
O -6.849 9.122 9.537
O -6.635 6.539 9.970
O -2.447 10.806 4.699
O -1.736 1.783 4.314
O -5.924 3.998 9.584
O -2.336 5.812 5.190
O -6.524 11.533 10.461
O -4.298 1.622 7.717
O -0.110 4.160 2.446
O 1.710 2.402 1.467
O -2.478 3.379 6.737
O -2.089 7.903 6.800
O 2.099 9.442 1.530
O -2.002 0.701 6.798
O 2.186 5.080 1.527
O -0.190 7.505 4.894
O -4.377 9.840 10.165
O 0.023 0.000 5.271
O 4.211 5.782 0.000
O 4.424 1.723 0.376
O 0.236 4.059 5.647
O -2.140 6.483 9.014
O 2.048 10.862 3.743
O -2.053 2.122 9.012
O 2.135 3.660 3.741
O 2.524 8.184 3.804
O -1.664 9.161 9.075
O 0.156 7.403 8.095
O 4.344 9.942 2.824
O 6.570 0.030 0.081
O 2.382 5.752 5.351
O 5.970 7.565 0.957
O 1.782 9.780 6.228
O 2.493 0.757 5.843
O 6.681 5.024 0.572
O 6.895 2.441 1.004
O 2.707 3.341 6.275
O 1.574 1.760 8.210
O 5.762 4.022 2.940


(6)
5
Lattice="3.973 0.000 0.000 0.000 3.973 0.000 0.000 0.000 4.404" Properties=species:S:1:pos:R:3 comment="PBEsol BaRhO2F, relaxed" dos_at_fermi_per_ev_atom=0.575 energy_ev_per_atom=-6.36 e_form_raw_ev_per_fu=-9.1 pbc="T T T"
Ba 0.000 0.000 0.000
Rh 1.986 1.986 2.202
O 0.000 1.986 2.202
O 1.986 0.000 2.202
F 1.986 1.986 0.000


(7)
5
Lattice="5.272 0.000 0.000 0.000 5.272 0.000 0.000 0.000 5.272" Properties=species:S:1:pos:R:3 comment="PBEsol Zn3IBr, relaxed" dos_at_fermi_per_ev_atom=0.369 energy_ev_per_atom=-1.21 e_form_raw_ev_per_fu=2.3 pbc="T T T"
Zn 0.000 0.000 2.636
Zn 0.000 2.636 0.000
Zn 2.636 0.000 0.000
I 2.636 2.636 2.636
Br 0.000 0.000 0.000


(8)
4
Lattice="2.597 -4.163 0.000 2.597 4.163 0.000 -0.904 0.000 2.461" Properties=species:S:1:pos:R:3 comment="PBEsol Cr2IrW, relaxed" dos_at_fermi_per_ev_atom=1.343 energy_ev_per_atom=-10.86 formation_energy_ev_per_atom=0.169 pbc="T T T"
Cr 1.299 2.081 0.000
Cr 1.299 -2.081 0.000
Ir -0.452 0.000 1.231
W 2.145 0.000 1.231


no.,spin magnetization (Bohr magnetons per cell)
1,0.000
2,0.001
3,4.857
4,5.164
5,0.001
6,1.350
7,0.000
8,0.009